LaCuBi3: relaxed, PBE.

abc: 5.325 5.325 5.325
angles: 90.00 90.00 90.00
Sites, in units of the cell vectors:
Bi 0.000 0.000 0.500
Bi 0.000 0.500 0.000
Bi 0.500 0.000 0.000
Cu 0.000 0.000 0.000
La 0.500 0.500 0.500

Calculated values
VASP energy	-4.2785	eV/atom
E above lowest polymorph	0.000	eV/atom
formation energy	-0.145	eV/atom
SG	Pm-3m (221)

CoW: relaxed, PBE.

abc: 3.725 3.725 4.817
angles: 90.00 90.00 120.00
Sites, in units of the cell vectors:
Co 0.000 0.000 0.500
Co 0.000 0.000 0.000
W 0.333 0.667 0.250
W 0.667 0.333 0.750

Calculated values
VASP energy	-9.4914	eV/atom
formation energy	0.538	eV/atom
SG	P6_3/mmc (194)

Cs3TlCu2I8: relaxed, PBE.

abc: 8.487 8.487 10.695
angles: 90.00 90.00 120.00
Sites, in units of the cell vectors:
I 0.170 0.340 0.317
I 0.667 0.333 0.019
I 0.660 0.830 0.317
I 0.333 0.667 0.981
I 0.830 0.660 0.683
I 0.830 0.170 0.683
I 0.170 0.830 0.317
I 0.340 0.170 0.683
Tl 0.000 0.000 0.500
Cs 0.000 0.000 0.000
Cs 0.333 0.667 0.627
Cs 0.667 0.333 0.373
Cu 0.333 0.667 0.214
Cu 0.667 0.333 0.786

Calculated values
VASP energy	-2.6142	eV/atom
SG	P-3m1 (164)

Question: What is the formula in the second record?
Answer: CoW